## Y3ScCd (GGA-PBE)

Data for a relaxed Y3ScCd crystal.

extended XYZ file:
```
5
Lattice="5.632 0.000 0.000 0.000 5.632 0.000 0.000 0.000 5.632" Properties=species:S:1:pos:R:3 pbc="T T T"
Cd 0.000 0.000 0.000
Y 2.816 0.000 0.000
Y 0.000 0.000 2.816
Y 0.000 2.816 0.000
Sc 2.816 2.816 2.816
```

Its formation enthalpy at 0 K is 0.5025 eV per atom. The total magnetization is 0.00 μB per formula unit. As for the space group: Pm-3m (221).